Entry 1:
! Ac12DyPb6 PBE-GGA optimized geometry; values from VASP
! - Formation enthalpy at 0 K: -2.2 kcal/mol of atoms
&SYSTEM
  ibrav = 0, nat = 19, ntyp = 3
/
ATOMIC_SPECIES
Ac 227.00 Ac.upf
Dy 162.50 Dy.upf
Pb 207.20 Pb.upf
CELL_PARAMETERS angstrom
-8.9797 -1.7088 3.2939
4.5306 -8.2605 2.3756
3.4104 6.0847 6.7640
ATOMIC_POSITIONS crystal
Ac 0.8165 0.5912 0.4538
Ac 0.4538 0.8165 0.5912
Ac 0.5912 0.4538 0.8165
Ac 0.1835 0.4088 0.5462
Ac 0.5462 0.1835 0.4088
Ac 0.4088 0.5462 0.1835
Ac 0.0587 0.9574 0.3267
Ac 0.0426 0.6733 0.9413
Ac 0.6733 0.9413 0.0426
Ac 0.9413 0.0426 0.6733
Ac 0.9574 0.3267 0.0587
Ac 0.3267 0.0587 0.9574
Dy 0.0000 0.0000 0.0000
Pb 0.6821 0.8703 0.3657
Pb 0.6343 0.3179 0.1297
Pb 0.1297 0.6343 0.3179
Pb 0.3179 0.1297 0.6343
Pb 0.3657 0.6821 0.8703
Pb 0.8703 0.3657 0.6821

***

Entry 2:
! Ac5Dy2Pb5 PBE-GGA optimized geometry; values from VASP
! - Formation enthalpy at 0 K: -9.0 kcal/mol of atoms
&SYSTEM
  ibrav = 0, nat = 12, ntyp = 3
/
ATOMIC_SPECIES
Ac 227.00 Ac.upf
Dy 162.50 Dy.upf
Pb 207.20 Pb.upf
CELL_PARAMETERS angstrom
4.7536 0.0000 0.0000
-2.3768 7.8880 -0.3314
0.0000 -4.2990 12.8237
ATOMIC_POSITIONS crystal
Ac 0.5000 0.0000 0.5000
Ac 0.6629 0.3258 0.0407
Ac 0.7316 0.4632 0.3468
Ac 0.2684 0.5368 0.6532
Ac 0.3371 0.6742 0.9593
Dy 0.0497 0.0994 0.7936
Dy 0.9503 0.9006 0.2064
Pb 0.1104 0.2208 0.4144
Pb 0.6797 0.3594 0.7856
Pb 0.3203 0.6406 0.2144
Pb 0.8896 0.7792 0.5856
Pb 0.0000 0.0000 0.0000

***

Entry 3:
! Ac2DyPb2 PBE-GGA optimized geometry; values from VASP
! - Formation enthalpy at 0 K: -11.6 kcal/mol of atoms
! - Offset from the most stable computed form: 0 meV/atom
&SYSTEM
  ibrav = 0, nat = 10, ntyp = 3
/
ATOMIC_SPECIES
Ac 227.00 Ac.upf
Dy 162.50 Dy.upf
Pb 207.20 Pb.upf
CELL_PARAMETERS angstrom
4.9843 0.0000 0.0000
0.0000 8.4797 0.0000
0.0000 0.0000 8.4797
ATOMIC_POSITIONS crystal
Ac 0.5000 0.1713 0.6713
Ac 0.5000 0.6713 0.8287
Ac 0.5000 0.8287 0.3287
Ac 0.5000 0.3287 0.1713
Dy 0.0000 0.0000 0.0000
Dy 0.0000 0.5000 0.5000
Pb 0.0000 0.3654 0.8654
Pb 0.0000 0.8654 0.6346
Pb 0.0000 0.6346 0.1346
Pb 0.0000 0.1346 0.3654

***

Number 1: magnetization 0.002 μB/cell, DOS(E_F) 24.681 states/eV/cell. Number 2: magnetization 0.908 μB/cell, DOS(E_F) 6.040 states/eV/cell. Number 3: magnetization 0.000 μB/cell, DOS(E_F) 9.403 states/eV/cell.